Entry 1:
# AcPaPd2O8, relaxed, DFT PBE
# VASP energy	-6.95	eV per atom
# ΔE_f (raw)	-1.649	eV/atom
data_AcPaPd2O8
_chemical_formula_sum 'Ac2 Pa2 Pd4 O16'
_space_group_name_H-M_alt 'I -4 m 2'
_space_group_IT_number 119
_space_group_name_Hall 'I -4 -2'
_cell_length_a 7.367
_cell_length_b 7.367
_cell_length_c 7.036
_cell_angle_alpha 90.00
_cell_angle_beta 90.00
_cell_angle_gamma 90.00
loop_
_atom_site_label
_atom_site_fract_x
_atom_site_fract_y
_atom_site_fract_z
Ac1 0.000 0.000 0.000
Pa1 0.000 0.500 0.250
Pd1 0.000 0.000 0.500
Pd2 0.000 0.500 0.750
O1 0.000 0.194 0.304
O2 0.000 0.337 0.968


Entry 2:
# CdSn3I6Br2, relaxed, DFT PBE
# VASP energy	-2.68	eV per atom
# ΔE_f (raw)	-0.551	eV/atom
data_CdSn3I6Br2
_chemical_formula_sum 'Cd2 Sn6 I12 Br4'
_space_group_name_H-M_alt 'C 1 2/m 1'
_space_group_IT_number 12
_space_group_name_Hall '-C 2y'
_cell_length_a 15.425
_cell_length_b 8.880
_cell_length_c 7.113
_cell_angle_alpha 90.00
_cell_angle_beta 94.22
_cell_angle_gamma 90.00
loop_
_atom_site_label
_atom_site_fract_x
_atom_site_fract_y
_atom_site_fract_z
Cd1 0.000 0.000 0.000
Sn1 0.000 0.500 0.500
Sn2 0.250 0.250 0.000
I1 0.088 0.245 0.254
I2 0.147 0.000 0.751
Br1 0.166 0.500 0.758


Entry 3:
# Pr8Y4Pu, relaxed, DFT PBE
# VASP energy	-5.59	eV per atom
data_Pr8Y4Pu
_chemical_formula_sum 'Pr24 Y12 Pu3'
_space_group_name_H-M_alt 'R -3 m'
_space_group_IT_number 166
_space_group_name_Hall '-R 3 2"'
_cell_length_a 11.9412
_cell_length_b 11.9412
_cell_length_c 11.6106
_cell_angle_alpha 90.00
_cell_angle_beta 90.00
_cell_angle_gamma 120.00
loop_
_atom_site_label
_atom_site_fract_x
_atom_site_fract_y
_atom_site_fract_z
Pr1 0.0000 0.0000 0.2483
Pr2 0.9998 0.4999 0.3288
Y1 0.0000 0.0000 0.0000
Y2 0.0000 0.5000 0.0000
Pu1 0.0000 0.0000 0.5000